Entry 1:
Ac12C5N3: relaxed, PBE.

abc: 14.124 14.124 14.124
angles: 109.47 109.47 109.47
Element x y z (fractional)
N  0.750  0.375  0.125
N  0.875  0.750  0.125
N  0.375  0.750  0.625
N  0.250  0.125  0.375
N  0.875  0.125  0.250
N  0.375  0.625  0.250
N  0.625  0.375  0.750
N  0.125  0.875  0.750
N  0.750  0.875  0.625
N  0.625  0.250  0.375
N  0.125  0.250  0.875
N  0.250  0.625  0.875
C  0.125  0.375  0.250
C  0.000  0.500  0.000
C  0.000  0.000  0.000
C  0.375  0.250  0.125
C  0.500  0.000  0.500
C  0.500  0.500  0.000
C  0.125  0.750  0.375
C  0.750  0.125  0.875
C  0.750  0.625  0.375
C  0.375  0.125  0.750
C  0.625  0.875  0.250
C  0.500  0.500  0.500
C  0.500  0.000  0.000
C  0.000  0.000  0.500
C  0.250  0.375  0.625
C  0.250  0.875  0.125
C  0.000  0.500  0.500
C  0.875  0.250  0.625
C  0.625  0.750  0.875
C  0.875  0.625  0.750
Ac  0.715  0.131  0.038
Ac  0.323  0.538  0.407
Ac  0.962  0.369  0.285
Ac  0.538  0.215  0.131
Ac  0.584  0.715  0.677
Ac  0.962  0.593  0.177
Ac  0.323  0.785  0.416
Ac  0.093  0.916  0.131
Ac  0.593  0.962  0.677
Ac  0.715  0.584  0.177
Ac  0.785  0.462  0.369
Ac  0.823  0.907  0.038
Ac  0.131  0.715  0.538
Ac  0.369  0.407  0.084
Ac  0.084  0.907  0.369
Ac  0.416  0.131  0.593
Ac  0.084  0.177  0.215
Ac  0.462  0.677  0.093
Ac  0.823  0.916  0.285
Ac  0.131  0.416  0.093
Ac  0.369  0.962  0.785
Ac  0.593  0.631  0.416
Ac  0.907  0.823  0.538
Ac  0.785  0.323  0.916
Ac  0.407  0.369  0.584
Ac  0.093  0.177  0.462
Ac  0.215  0.677  0.084
Ac  0.177  0.084  0.715
Ac  0.631  0.038  0.215
Ac  0.869  0.584  0.907
Ac  0.538  0.323  0.907
Ac  0.584  0.869  0.407
Ac  0.916  0.823  0.785
Ac  0.916  0.093  0.631
Ac  0.869  0.285  0.462
Ac  0.177  0.093  0.962
Ac  0.631  0.593  0.916
Ac  0.407  0.038  0.323
Ac  0.285  0.416  0.823
Ac  0.215  0.538  0.631
Ac  0.907  0.084  0.869
Ac  0.677  0.215  0.584
Ac  0.462  0.785  0.869
Ac  0.038  0.407  0.823
Ac  0.416  0.285  0.323
Ac  0.038  0.631  0.715
Ac  0.677  0.462  0.593
Ac  0.285  0.869  0.962

Computed properties:
The total DFT energy (no corrections) comes out at -5.82 eV/atom. As for the space group: Ia-3d, No. 230. The value obtained for the energy relative to the elements, uncorrected is 196 meV per atom. The calculation puts the magnetic moment at 0.00 μB/f.u.

Entry 2:
AcCN: relaxed, PBE.

abc: 7.469 7.478 4.392
angles: 85.31 71.55 30.51
Element x y z (fractional)
Ac  0.913  0.180  0.463
Ac  0.927  0.575  0.848
C  0.441  0.298  0.059
C  0.399  0.458  0.252
N  0.534  0.811  0.475
N  0.306  0.944  0.836

Computed properties:
The total DFT energy (no corrections) comes out at -7.68 eV/atom. As for the space group: P-1, No. 2. The value obtained for the energy relative to the elements, uncorrected is -460 meV per atom. For the distance to the lowest polymorph of the same formula, the calculation gives 39 meV/atom. The calculation puts the magnetic moment at 0.00 μB/f.u.

Entry 3:
AcCN2: relaxed, PBE.

abc: 3.879 3.879 6.046
angles: 71.29 71.29 60.00
Element x y z (fractional)
Ac  0.500  0.500  0.500
C  0.000  0.000  0.000
N  0.074  0.074  0.779
N  0.926  0.926  0.221

Computed properties:
The total DFT energy (no corrections) comes out at -8.07 eV/atom. As for the space group: R-3m, No. 166. The value obtained for the energy relative to the elements, uncorrected is -575 meV per atom. For the distance to the lowest polymorph of the same formula, the calculation gives 88 meV/atom. The calculation puts the magnetic moment at 0.00 μB/f.u.

Entry 4:
NaAcCN2: relaxed, PBE.

abc: 5.538 6.737 8.519
angles: 129.14 90.00 90.00
Element x y z (fractional)
Na  0.995  0.500  0.750
Na  0.005  0.500  0.250
Ac  0.500  0.000  0.250
Ac  0.500  0.000  0.750
C  0.000  0.000  0.000
C  0.000  0.000  0.500
N  0.777  0.998  0.999
N  0.777  0.002  0.501
N  0.223  0.998  0.499
N  0.223  0.002  0.001

Computed properties:
The total DFT energy (no corrections) comes out at -6.69 eV/atom. As for the space group: Cmme, No. 67. The value obtained for the energy relative to the elements, uncorrected is -425 meV per atom. The calculation puts the magnetic moment at 0.00 μB/f.u.